1.
ScSbP2 | SCAN | PBEsol geometry

Output
Space-group type = No. 12
Raw formation energy = -364 meV per atom

extended XYZ file:
```
4
Lattice="4.660 -1.632 0.000 4.660 1.632 0.000 -0.059 0.000 5.261" Properties=species:S:1:pos:R:3 pbc="T T T"
Sc 0.000 0.000 0.000
Sb 4.631 0.000 2.630
P 2.571 0.000 0.758
P 6.690 0.000 4.503
```

---

2.
Sc3SbP | SCAN | PBEsol geometry

Output
Space-group type = No. 221
Raw formation energy = -840 meV per atom

extended XYZ file:
```
5
Lattice="4.818 0.000 0.000 0.000 4.818 0.000 0.000 0.000 4.818" Properties=species:S:1:pos:R:3 pbc="T T T"
Sc 0.000 0.000 2.409
Sc 0.000 2.409 0.000
Sc 2.409 0.000 0.000
Sb 2.409 2.409 2.409
P 0.000 0.000 0.000
```

---

Which of these has the highest raw formation energy?
ScSbP2

---

What is the raw formation energy in the second record?
-840 meV per atom

---

Which of these has the lowest raw formation energy?
Sc3SbP